Computed, not measured: a relaxed structure of ScTcAg2 at the PBE level of DFT.

Lattice parameters (Å, degrees): 3.3749 3.3933 6.2297 90.00 90.00 90.00
Last column: nearest neighbours and their distance in Å.
Space group Pmm2 (No. 25)
Inequivalent atoms, fractional coordinates:
1 Sc 0.0000 0.0000 0.0000  4 Tc 2.79, 5 Ag 2.94-2.99
2 Tc 0.5000 0.5000 0.7683  4 Sc 2.79, 5 Ag 2.85-3.07
3 Ag 0.0000 0.0000 0.5207  4 Ag 2.84, 4 Tc 2.85, 1 Sc 2.99
4 Ag 0.5000 0.5000 0.2751  4 Ag 2.84, 4 Sc 2.94, 2 Tc 3.07-3.16

Output
Energy of formation = 0.139 eV per atom
Theoretical density = 8.35 Mg/m³
Distance to the lowest polymorph of the same formula = 0.0327 eV/atom
Fermi-level density of states = 0.972 states/eV/atom

---

Computed, not measured: a relaxed structure of ThPaSi2 at the PBE level of DFT.

Lattice parameters (Å, degrees): 3.3500 3.3500 7.8708 90.00 90.00 90.00
Last column: nearest neighbours and their distance in Å.
Space group P4/mmm (No. 123)
Inequivalent atoms, fractional coordinates:
1 Th 0.0000 0.0000 0.0000  8 Si 3.13, 4 Th 3.35
2 Pa 0.0000 0.0000 0.5000  8 Si 3.03, 4 Pa 3.35
3 Si 0.5000 0.5000 0.2604  4 Pa 3.03, 4 Th 3.13, 4 Si 3.35

Output
E_form (uncorrected) = -0.36 eV/atom
Theoretical density = 9.76 Mg/m³
Distance to the lowest polymorph of the same formula = 0.0518 eV/atom
Fermi-level density of states = 1.309 states/eV/atom

---

Computed, not measured: a relaxed structure of Ag2BiSN at the PBE level of DFT.

Lattice parameters (Å, degrees): 5.5153 5.5153 5.3885 90.00 90.00 90.00
Last column: nearest neighbours and their distance in Å.
Space group P4/mmm (No. 123)
Inequivalent atoms, fractional coordinates:
1 Ag 0.0000 0.5000 0.0000  2 Bi 2.76
2 Bi 0.0000 0.0000 0.0000  2 S 2.69, 4 Ag 2.76
3 S 0.0000 0.0000 0.5000  2 Bi 2.69
4 N 0.5000 0.5000 0.5000  8 Ag 3.86, 4 S 3.90

Output
E_form (uncorrected) = 1.50 eV/atom
Theoretical density = 4.77 Mg/m³
Fermi-level density of states = 0.589 states/eV/atom